{"formula": "ZnHg2GeF6", "functional": "GGA-PBE", "state": "optimized geometry", "n_ef_per_ev_fu": 0.000, "e_form_raw_ev_per_atom": -1.85, "spacegroup": "No. 2", "lattice": [[5.542, 0.009, 0.129], [-0.052, 5.028, 1.250], [2.807, 3.630, 7.248]], "species": ["F", "F", "F", "F", "F", "F", "Hg", "Hg", "Ge", "Zn"], "fractional_positions": [[0.630, 0.674, 0.722], [0.349, 0.858, 0.926], [0.817, 0.764, 0.924], [0.183, 0.236, 0.076], [0.370, 0.326, 0.278], [0.651, 0.142, 0.074], [0.792, 0.435, 0.423], [0.208, 0.565, 0.577], [0.500, 0.500, 0.000], [0.000, 0.000, 0.000]]}



{"formula": "HoGe2F8", "functional": "GGA-PBE", "state": "optimized geometry", "n_ef_per_ev_fu": 2.655, "e_form_raw_ev_per_atom": -2.70, "spacegroup": "No. 12", "lattice": [[-3.237, -4.196, -0.543], [2.929, -0.229, -5.034], [5.067, -2.669, 1.079]], "species": ["Ge", "Ge", "F", "F", "F", "F", "F", "F", "F", "F", "Ho"], "fractional_positions": [[0.612, 0.345, 0.345], [0.388, 0.655, 0.655], [0.732, 0.660, 0.085], [0.746, 0.556, 0.556], [0.268, 0.915, 0.340], [0.803, 0.178, 0.178], [0.254, 0.444, 0.444], [0.197, 0.822, 0.822], [0.732, 0.085, 0.660], [0.268, 0.340, 0.915], [0.000, 0.000, 0.000]]}



{"formula": "Ge2IF3", "functional": "GGA-PBE", "state": "optimized geometry", "n_ef_per_ev_fu": 0.000, "e_form_raw_ev_per_atom": -1.53, "spacegroup": "No. 12", "lattice": [[4.262, 0.000, 0.000], [0.000, 6.422, 1.064], [-2.131, -0.311, 10.630]], "species": ["Ge", "Ge", "Ge", "Ge", "I", "I", "F", "F", "F", "F", "F", "F"], "fractional_positions": [[0.930, 0.900, 0.860], [0.667, 0.406, 0.334], [0.070, 0.100, 0.140], [0.333, 0.594, 0.666], [0.661, 0.924, 0.322], [0.339, 0.076, 0.678], [0.163, 0.368, 0.326], [0.961, 0.164, 0.923], [0.419, 0.591, 0.837], [0.837, 0.632, 0.674], [0.039, 0.836, 0.077], [0.581, 0.409, 0.163]]}



{"formula": "GeI3F", "functional": "GGA-PBE", "state": "optimized geometry", "relative_energy_ev_per_atom": 0.000, "n_ef_per_ev_fu": 11.558, "e_form_raw_ev_per_atom": 0.04, "spacegroup": "No. 221", "lattice": [[5.655, 0.000, 0.000], [0.000, 5.655, 0.000], [0.000, 0.000, 5.655]], "species": ["Ge", "I", "I", "I", "F"], "fractional_positions": [[0.000, 0.000, 0.000], [0.500, 0.000, 0.000], [0.000, 0.000, 0.500], [0.000, 0.500, 0.000], [0.500, 0.500, 0.500]]}